Here is a relaxed K2CoTc crystal from Alexandria. Energies are from PBEsol.

Properties
The space group is R-3m, No. 166. As for the energy of formation from the pure elements: 1.49 eV/atom. The value obtained for the size of the total moment is 0.41 μB/atom. The calculation puts the calculated total energy at -3.829 eV/atom. The volume is 19.0 Å³ per atom. The energy above the most stable polymorph in this dataset comes out at 670 meV per atom.

POSCAR file:
```
K2CoTc
1.0
-1.1223 1.1338 -2.2662
-1.5044 -1.5581 -1.7291
-10.3094 2.3816 4.6026
Co K Tc
1 2 1
direct
0.5000 0.5000 0.5000
0.0886 0.0886 0.7341
0.9114 0.9114 0.2659
0.0000 0.0000 0.0000
```